# 1
The following is a PBE calculation of a relaxed PmNdSmY3 crystal, from Alexandria.

Lattice parameters (Å, degrees): 8.0820 8.0820 10.2158 90.00 90.00 143.16
With the nearest neighbours (Å) after each atom.
Element x y z (fractional)
Pm 0.0003 0.9997 0.2500  4 Nd 3.61, 2 Sm 3.61, 6 Y 3.62
Pm 0.9997 0.0003 0.7500  4 Nd 3.61, 2 Sm 3.61, 6 Y 3.62
Nd 0.5000 0.5000 0.0000  4 Pm 3.61, 6 Y 3.62, 2 Sm 3.62
Nd 0.5000 0.5000 0.5000  4 Pm 3.61, 6 Y 3.62, 2 Sm 3.62
Sm 0.3329 0.6671 0.7500  8 Y 3.60-3.61, 2 Pm 3.61, 2 Nd 3.62
Sm 0.6671 0.3329 0.2500  8 Y 3.60-3.61, 2 Pm 3.61, 2 Nd 3.62
Y 0.1674 0.8326 0.9999  5 Y 3.60-3.61, 3 Sm 3.60-3.61, 2 Pm 3.62, 2 Nd 3.62
Y 0.1674 0.8326 0.5001  5 Y 3.60-3.61, 3 Sm 3.60-3.61, 2 Pm 3.62, 2 Nd 3.62
Y 0.3331 0.6669 0.2500  6 Y 3.60-3.61, 2 Sm 3.61, 2 Nd 3.62, 2 Pm 3.62
Y 0.6669 0.3331 0.7500  6 Y 3.60-3.61, 2 Sm 3.61, 2 Nd 3.62, 2 Pm 3.62
Y 0.8326 0.1674 0.0001  5 Y 3.60-3.61, 3 Sm 3.60-3.61, 2 Pm 3.62, 2 Nd 3.62
Y 0.8326 0.1674 0.4999  5 Y 3.60-3.61, 3 Sm 3.60-3.61, 2 Pm 3.62, 2 Nd 3.62

space group: Cmcm


# 2
The following is a PBE calculation of a relaxed Pm2NdSm2Y2 crystal, from Alexandria.

Lattice parameters (Å, degrees): 6.2744 6.2744 8.1183 97.34 97.34 48.25
With the nearest neighbours (Å) after each atom.
Element x y z (fractional)
Pm 0.1426 0.1426 0.4291  3 Pm 3.61-3.63, 5 Sm 3.63, 3 Y 3.63, 1 Nd 3.63
Pm 0.8574 0.8574 0.5709  3 Pm 3.61-3.63, 5 Sm 3.63, 3 Y 3.63, 1 Nd 3.63
Nd 0.0000 0.0000 0.0000  6 Y 3.62-3.63, 4 Sm 3.62, 2 Pm 3.63
Sm 0.4286 0.4286 0.2853  4 Y 3.62-3.63, 2 Nd 3.62, 5 Pm 3.63, 1 Sm 3.64
Sm 0.5714 0.5714 0.7147  4 Y 3.62-3.63, 2 Nd 3.62, 5 Pm 3.63, 1 Sm 3.64
Y 0.2857 0.2857 0.8576  3 Nd 3.62-3.63, 2 Y 3.62, 4 Sm 3.62-3.63, 3 Pm 3.63
Y 0.7143 0.7143 0.1424  3 Nd 3.62-3.63, 2 Y 3.62, 4 Sm 3.62-3.63, 3 Pm 3.63

space group: C2/m


# 3
The following is a PBE calculation of a relaxed PmNdSm2Y crystal, from Alexandria.

Lattice parameters (Å, degrees): 7.2488 7.2488 7.2278 90.00 90.00 108.73
With the nearest neighbours (Å) after each atom.
Element x y z (fractional)
Pm 0.0165 0.9835 0.7500  1 Nd 3.08, 4 Sm 3.20, 1 Y 3.32
Pm 0.9835 0.0165 0.2500  1 Nd 3.08, 4 Sm 3.20, 1 Y 3.32
Nd 0.2782 0.7218 0.7500  1 Pm 3.08
Nd 0.7218 0.2782 0.2500  1 Pm 3.08
Sm 0.3112 0.3112 0.0000  1 Sm 3.19, 2 Pm 3.20, 2 Nd 3.55
Sm 0.3112 0.3112 0.5000  1 Sm 3.19, 2 Pm 3.20, 2 Nd 3.55
Sm 0.6888 0.6888 0.0000  1 Sm 3.19, 2 Pm 3.20, 2 Nd 3.55
Sm 0.6888 0.6888 0.5000  1 Sm 3.19, 2 Pm 3.20, 2 Nd 3.55
Y 0.2652 0.7348 0.2500  1 Pm 3.32, 2 Nd 3.62, 4 Sm 3.67
Y 0.7348 0.2652 0.7500  1 Pm 3.32, 2 Nd 3.62, 4 Sm 3.67

space group: Cmcm


# 4
The following is a PBE calculation of a relaxed Pm2Nd2SmY2 crystal, from Alexandria.

Lattice parameters (Å, degrees): 6.2906 6.2906 8.1323 97.35 97.35 48.22
With the nearest neighbours (Å) after each atom.
Element x y z (fractional)
Pm 0.1429 0.1429 0.4285  3 Pm 3.63, 5 Nd 3.64, 1 Sm 3.64, 3 Y 3.64-3.65
Pm 0.8571 0.8571 0.5715  3 Pm 3.63, 5 Nd 3.64, 1 Sm 3.64, 3 Y 3.64-3.65
Nd 0.4287 0.4287 0.2842  4 Y 3.62-3.63, 2 Sm 3.63, 5 Pm 3.64, 1 Nd 3.66
Nd 0.5713 0.5713 0.7158  4 Y 3.62-3.63, 2 Sm 3.63, 5 Pm 3.64, 1 Nd 3.66
Sm 0.0000 0.0000 0.0000  4 Nd 3.63, 6 Y 3.63, 2 Pm 3.64
Y 0.2858 0.2858 0.8581  4 Nd 3.62-3.63, 2 Y 3.62, 3 Sm 3.63, 3 Pm 3.64-3.65
Y 0.7142 0.7142 0.1419  4 Nd 3.62-3.63, 2 Y 3.62, 3 Sm 3.63, 3 Pm 3.64-3.65

space group: C2/m


# 5
The following is a PBE calculation of a relaxed PmNd2Sm2Y4 crystal, from Alexandria.

Lattice parameters (Å, degrees): 9.6431 9.6431 9.7002 115.25 115.25 21.81
With the nearest neighbours (Å) after each atom.
Element x y z (fractional)
Pm 0.0000 0.0000 0.0000  6 Y 3.60, 4 Nd 3.64, 2 Pm 3.65
Nd 0.3338 0.3338 0.9998  3 Y 3.60-3.61, 3 Sm 3.61-3.62, 2 Pm 3.64, 4 Nd 3.65-3.66
Nd 0.6662 0.6662 0.0002  3 Y 3.60-3.61, 3 Sm 3.61-3.62, 2 Pm 3.64, 4 Nd 3.65-3.66
Sm 0.1478 0.1478 0.6642  7 Y 3.56-3.66, 3 Nd 3.61-3.62, 2 Sm 3.65
Sm 0.8522 0.8522 0.3358  7 Y 3.56-3.66, 3 Nd 3.61-3.62, 2 Sm 3.65
Y 0.1854 0.1854 0.3355  3 Sm 3.56-3.65, 6 Y 3.57-3.65, 1 Pm 3.60, 2 Nd 3.61
Y 0.4805 0.4805 0.6654  4 Sm 3.56-3.66, 5 Y 3.59-3.65, 2 Pm 3.60, 1 Nd 3.60
Y 0.5195 0.5195 0.3346  4 Sm 3.56-3.66, 5 Y 3.59-3.65, 2 Pm 3.60, 1 Nd 3.60
Y 0.8146 0.8146 0.6645  3 Sm 3.56-3.65, 6 Y 3.57-3.65, 1 Pm 3.60, 2 Nd 3.61

space group: C2/m


# 6
The following is a PBE calculation of a relaxed Pm3NdSm2Y6 crystal, from Alexandria.

Lattice parameters (Å, degrees): 6.2632 6.2632 11.8770 95.02 95.02 119.98
With the nearest neighbours (Å) after each atom.
Element x y z (fractional)
Pm 0.0000 0.0000 0.0000  6 Y 3.59, 6 Pm 3.61-3.62
Pm 0.3332 0.6668 0.0000  6 Y 3.59, 6 Pm 3.61-3.62
Pm 0.6668 0.3332 0.0000  6 Y 3.59, 6 Pm 3.61-3.62
Nd 0.5000 0.5000 0.5000  6 Y 3.59, 6 Sm 3.62
Sm 0.1666 0.8334 0.5000  6 Y 3.59, 3 Sm 3.61-3.62, 3 Nd 3.62
Sm 0.8334 0.1666 0.5000  6 Y 3.59, 3 Sm 3.61-3.62, 3 Nd 3.62
Y 0.0831 0.4166 0.2501  2 Sm 3.59, 3 Pm 3.59, 1 Nd 3.59, 6 Y 3.61-3.62
Y 0.2499 0.2499 0.7500  3 Pm 3.59, 1 Nd 3.59, 2 Sm 3.59, 6 Y 3.61-3.62
Y 0.4166 0.0831 0.2501  2 Sm 3.59, 3 Pm 3.59, 1 Nd 3.59, 6 Y 3.61-3.62
Y 0.5834 0.9169 0.7499  2 Sm 3.59, 3 Pm 3.59, 1 Nd 3.59, 6 Y 3.61-3.62
Y 0.7501 0.7501 0.2500  3 Pm 3.59, 1 Nd 3.59, 2 Sm 3.59, 6 Y 3.61-3.62
Y 0.9169 0.5834 0.7499  2 Sm 3.59, 3 Pm 3.59, 1 Nd 3.59, 6 Y 3.61-3.62

space group: C2/m


# 7
The following is a PBE calculation of a relaxed Pm4Nd2Sm2Y crystal, from Alexandria.

Lattice parameters (Å, degrees): 9.7128 9.7128 9.7888 115.14 115.14 21.82
With the nearest neighbours (Å) after each atom.
Element x y z (fractional)
Pm 0.0184 0.0184 0.3327  1 Nd 3.61, 2 Y 3.62, 4 Sm 3.63-3.67, 5 Pm 3.64-3.68
Pm 0.3148 0.3148 0.6670  1 Y 3.62, 2 Nd 3.63, 6 Pm 3.63-3.68, 3 Sm 3.63-3.67
Pm 0.6852 0.6852 0.3330  1 Y 3.62, 2 Nd 3.63, 6 Pm 3.63-3.68, 3 Sm 3.63-3.67
Pm 0.9816 0.9816 0.6673  1 Nd 3.61, 2 Y 3.62, 4 Sm 3.63-3.67, 5 Pm 3.64-3.68
Nd 0.1659 0.1659 0.9991  3 Pm 3.61-3.63, 3 Sm 3.62-3.64, 2 Y 3.66, 4 Nd 3.68-3.69
Nd 0.8341 0.8341 0.0009  3 Pm 3.61-3.63, 3 Sm 3.62-3.64, 2 Y 3.66, 4 Nd 3.68-3.69
Sm 0.3520 0.3520 0.3329  3 Nd 3.62-3.64, 7 Pm 3.63-3.67, 2 Sm 3.68
Sm 0.6480 0.6480 0.6671  3 Nd 3.62-3.64, 7 Pm 3.63-3.67, 2 Sm 3.68
Y 0.5000 0.5000 0.0000  6 Pm 3.62, 4 Nd 3.66, 2 Y 3.68

space group: C2/m


# 8
The following is a PBE calculation of a relaxed Pm6NdSm2Y crystal, from Alexandria.

Lattice parameters (Å, degrees): 8.9841 8.9841 9.8438 94.29 94.29 118.43
With the nearest neighbours (Å) after each atom.
Element x y z (fractional)
Pm 0.0230 0.5732 0.1859  3 Pm 3.30-3.69, 1 Sm 3.47, 1 Nd 3.54, 1 Y 3.64
Pm 0.1213 0.7532 0.5553  7 Pm 3.44-3.84, 1 Sm 3.50, 1 Y 3.72
Pm 0.2468 0.8787 0.9447  7 Pm 3.44-3.84, 1 Sm 3.50, 1 Y 3.72
Pm 0.2913 0.4992 0.3795  4 Pm 3.30-3.70, 3 Sm 3.31-3.50, 2 Nd 3.50-3.64
Pm 0.4268 0.9770 0.3141  3 Pm 3.30-3.69, 1 Sm 3.47, 1 Nd 3.54, 1 Y 3.64
Pm 0.4992 0.2913 0.8795  4 Pm 3.30-3.70, 3 Sm 3.31-3.50, 2 Nd 3.50-3.64
Pm 0.5008 0.7087 0.1205  4 Pm 3.30-3.70, 3 Sm 3.31-3.50, 2 Nd 3.50-3.64
Pm 0.5732 0.0230 0.6859  3 Pm 3.30-3.69, 1 Sm 3.47, 1 Nd 3.54, 1 Y 3.64
Pm 0.7087 0.5008 0.6205  4 Pm 3.30-3.70, 3 Sm 3.31-3.50, 2 Nd 3.50-3.64
Pm 0.7532 0.1213 0.0553  7 Pm 3.44-3.84, 1 Sm 3.50, 1 Y 3.72
Pm 0.8787 0.2468 0.4447  7 Pm 3.44-3.84, 1 Sm 3.50, 1 Y 3.72
Pm 0.9770 0.4268 0.8141  3 Pm 3.30-3.69, 1 Sm 3.47, 1 Nd 3.54, 1 Y 3.64
Nd 0.4063 0.5937 0.7500  6 Pm 3.50-3.64, 2 Sm 3.66
Nd 0.5937 0.4063 0.2500  6 Pm 3.50-3.64, 2 Sm 3.66
Sm 0.1918 0.2962 0.0427  5 Pm 3.31-3.50, 2 Y 3.41-3.45, 1 Nd 3.66
Sm 0.2962 0.1918 0.5427  5 Pm 3.31-3.50, 2 Y 3.41-3.45, 1 Nd 3.66
Sm 0.7038 0.8082 0.4573  5 Pm 3.31-3.50, 2 Y 3.41-3.45, 1 Nd 3.66
Sm 0.8082 0.7038 0.9573  5 Pm 3.31-3.50, 2 Y 3.41-3.45, 1 Nd 3.66
Y 0.0226 0.9774 0.2500  4 Sm 3.41-3.45, 4 Pm 3.64-3.72
Y 0.9774 0.0226 0.7500  4 Sm 3.41-3.45, 4 Pm 3.64-3.72

space group: C2/c


# 9
The following is a PBE calculation of a relaxed Pm3Nd2SmY6 crystal, from Alexandria.

Lattice parameters (Å, degrees): 6.2724 6.2724 11.8817 95.03 95.03 119.98
With the nearest neighbours (Å) after each atom.
Element x y z (fractional)
Pm 0.0000 0.0000 0.0000  6 Y 3.59, 6 Pm 3.62
Pm 0.3333 0.6667 0.0000  6 Y 3.59, 6 Pm 3.62
Pm 0.6667 0.3333 0.0000  6 Y 3.59, 6 Pm 3.62
Nd 0.1666 0.8334 0.5000  6 Y 3.60, 3 Nd 3.62, 3 Sm 3.62
Nd 0.8334 0.1666 0.5000  6 Y 3.60, 3 Nd 3.62, 3 Sm 3.62
Sm 0.5000 0.5000 0.5000  6 Y 3.60, 6 Nd 3.62
Y 0.0835 0.4167 0.2497  3 Pm 3.59, 2 Nd 3.60, 1 Sm 3.60, 6 Y 3.62
Y 0.2502 0.2502 0.7504  3 Pm 3.59, 1 Sm 3.60, 2 Nd 3.60, 6 Y 3.62
Y 0.4167 0.0835 0.2497  3 Pm 3.59, 2 Nd 3.60, 1 Sm 3.60, 6 Y 3.62
Y 0.5833 0.9165 0.7503  3 Pm 3.59, 2 Nd 3.60, 1 Sm 3.60, 6 Y 3.62
Y 0.7498 0.7498 0.2496  3 Pm 3.59, 1 Sm 3.60, 2 Nd 3.60, 6 Y 3.62
Y 0.9165 0.5833 0.7503  3 Pm 3.59, 2 Nd 3.60, 1 Sm 3.60, 6 Y 3.62

space group: C2/m


# 10
The following is a PBE calculation of a relaxed PmNdSm2Y2 crystal, from Alexandria.

Lattice parameters (Å, degrees): 6.6931 18.0618 3.4235 90.00 90.00 90.00
With the nearest neighbours (Å) after each atom.
Element x y z (fractional)
Pm 0.0000 0.0000 0.0000  2 Y 3.28, 2 Pm 3.42, 2 Sm 3.63
Pm 0.5000 0.5000 0.5000  2 Y 3.28, 2 Pm 3.42, 2 Sm 3.63
Nd 0.0000 0.5000 0.0000  2 Nd 3.42, 4 Y 3.55, 4 Pm 3.76
Nd 0.5000 0.0000 0.5000  2 Nd 3.42, 4 Y 3.55, 4 Pm 3.76
Sm 0.2292 0.1824 0.0000  4 Y 3.38-3.47, 2 Sm 3.42, 1 Pm 3.63
Sm 0.2708 0.6824 0.5000  4 Y 3.38-3.47, 2 Sm 3.42, 1 Pm 3.63
Sm 0.7292 0.3176 0.5000  4 Y 3.38-3.47, 2 Sm 3.42, 1 Pm 3.63
Sm 0.7708 0.8176 0.0000  4 Y 3.38-3.47, 2 Sm 3.42, 1 Pm 3.63
Y 0.2269 0.3494 0.5000  1 Pm 3.28, 4 Sm 3.38-3.47, 2 Y 3.42, 2 Nd 3.55
Y 0.2731 0.8494 0.0000  1 Pm 3.28, 4 Sm 3.38-3.47, 2 Y 3.42, 2 Nd 3.55
Y 0.7269 0.1506 0.0000  1 Pm 3.28, 4 Sm 3.38-3.47, 2 Y 3.42, 2 Nd 3.55
Y 0.7731 0.6506 0.5000  1 Pm 3.28, 4 Sm 3.38-3.47, 2 Y 3.42, 2 Nd 3.55

space group: Pnnm


Calculated density across the listed records, respectively: 5.86 6.42 6.27 6.34 5.99 5.91 6.75 6.75 5.86 6.16 g/cm³.
E_tot across the listed records, respectively: -5.587 -5.220 -4.705 -5.227 -5.512 -5.593 -4.929 -4.803 -5.598 -5.039 eV/atom.
Energy of formation across the listed records, respectively: 0.106 0.094 1.896 0.094 -0.030 0.130 0.082 1.147 0.120 1.652 eV per formula unit.